## a
Density functional theory data (PBE) for an optimized crystal structure of CdNiP2S.

The structure in CIF format:
```
data_CdNiP2S
_chemical_formula_sum 'Cd1 Ni1 P2 S1'
_cell_length_a 4.905
_cell_length_b 4.905
_cell_length_c 4.966
_cell_angle_alpha 90.00
_cell_angle_beta 90.00
_cell_angle_gamma 90.00
_space_group_name_H-M_alt 'P 4/m m m'
_space_group_IT_number 123
_space_group_name_Hall '-P 4 2'
loop_
_atom_site_label
_atom_site_fract_x
_atom_site_fract_y
_atom_site_fract_z
Cd1 0.000 0.000 0.000
Ni1 0.500 0.500 0.500
P1 0.000 0.500 0.000
S1 0.000 0.000 0.500
```

The calculation puts the density at 3.68 Mg/m³.

## b
Density functional theory data (PBE) for an optimized crystal structure of CdNiP2S.

The structure in CIF format:
```
data_CdNiP2S
_chemical_formula_sum 'Cd1 Ni1 P2 S1'
_cell_length_a 4.310
_cell_length_b 4.310
_cell_length_c 5.042
_cell_angle_alpha 90.00
_cell_angle_beta 90.00
_cell_angle_gamma 90.00
_space_group_name_H-M_alt 'P 4/m m m'
_space_group_IT_number 123
_space_group_name_Hall '-P 4 2'
loop_
_atom_site_label
_atom_site_fract_x
_atom_site_fract_y
_atom_site_fract_z
Cd1 0.000 0.000 0.000
Ni1 0.500 0.500 0.500
P1 0.000 0.500 0.500
S1 0.500 0.500 0.000
```

The calculation puts the density at 4.70 Mg/m³.

How do the structures above rank in stability at the extremes? b comes first and a comes last.